Ac2AlPd6Au: relaxed, PBE-GGA.

The space group is R-3m. The energy of formation comes out at -677 meV/atom.

```
Ac2AlPd6Au
1.0
3.274 1.890 11.662
-3.274 1.890 11.662
0.000 -3.780 11.662
Ac Al Pd Au
4 2 12 2
Direct
0.115 0.115 0.115
0.284 0.284 0.284
0.716 0.716 0.716
0.885 0.885 0.885
0.000 0.000 0.000
0.500 0.500 0.500
0.075 0.668 0.668
0.221 0.221 0.647
0.221 0.647 0.221
0.332 0.332 0.925
0.332 0.925 0.332
0.353 0.779 0.779
0.647 0.221 0.221
0.668 0.075 0.668
0.668 0.668 0.075
0.779 0.353 0.779
0.779 0.779 0.353
0.925 0.332 0.332
0.425 0.425 0.425
0.575 0.575 0.575
```

TaPbAu2: relaxed, PBE-GGA.

The space group is F-43m. The energy of formation comes out at 456 meV/atom.

```
TaPbAu2
1.0
6.850 0.000 0.000
0.000 6.850 0.000
0.000 0.000 6.850
Ta Pb Au
4 4 8
Direct
0.000 0.000 0.000
0.000 0.500 0.500
0.500 0.000 0.500
0.500 0.500 0.000
0.250 0.250 0.750
0.250 0.750 0.250
0.750 0.250 0.250
0.750 0.750 0.750
0.000 0.000 0.500
0.000 0.500 0.000
0.250 0.250 0.250
0.250 0.750 0.750
0.500 0.000 0.000
0.500 0.500 0.500
0.750 0.250 0.750
0.750 0.750 0.250
```

ScMn9Si2: relaxed, PBE-GGA.

The space group is P4/mbm. For the calculated total energy, the calculation gives -8.4678 eV per atom.

```
ScMn9Si2
1.0
8.053 0.000 0.000
0.000 8.053 0.000
0.000 0.000 4.564
Sc Mn Si
2 18 4
Direct
0.000 0.000 0.000
0.500 0.500 0.000
0.000 0.500 0.500
0.070 0.211 0.500
0.175 0.675 0.223
0.175 0.675 0.777
0.211 0.930 0.500
0.289 0.430 0.500
0.325 0.175 0.223
0.325 0.175 0.777
0.430 0.711 0.500
0.500 0.000 0.500
0.570 0.289 0.500
0.675 0.825 0.223
0.675 0.825 0.777
0.711 0.570 0.500
0.789 0.070 0.500
0.825 0.325 0.223
0.825 0.325 0.777
0.930 0.789 0.500
0.123 0.377 0.000
0.377 0.877 0.000
0.623 0.123 0.000
0.877 0.623 0.000
```